Crystalline PuNi2SnH8 at its relaxed geometry, computed with PBE.

Unit cell a=4.1377 b=4.1377 c=21.8334 alpha=90.00 beta=90.00 gamma=120.00
Space group R-3 (No. 148, hexagonal axes)
Symmetry-distinct sites (fractional):
Pu 0.0000 0.0000 0.0000
Ni 0.0000 0.0000 0.2457
Sn 0.0000 0.0000 0.5000
H 0.0000 0.0000 0.3193
H 0.0210 0.2854 0.0914

Results
E_tot: -4.66 eV/atom

Crystalline CaNd3Sm7 at its relaxed geometry, computed with PBE.

Unit cell a=11.897 b=10.238 c=6.579 alpha=90.00 beta=94.64 gamma=90.00
Space group C2/m (No. 12)
Symmetry-distinct sites (fractional):
Ca 0.000 0.000 0.000
Nd 0.000 0.328 0.500
Nd 0.000 0.500 0.000
Sm 0.000 0.000 0.500
Sm 0.235 0.500 0.708
Sm 0.244 0.171 0.756

Results
formation energy from the elements: 0.22 eV/atom

Crystalline EuScCd2 at its relaxed geometry, computed with PBE.

Unit cell a=3.679 b=3.679 c=7.655 alpha=90.00 beta=90.00 gamma=90.00
Space group P4/mmm (No. 123)
Symmetry-distinct sites (fractional):
Eu 0.000 0.000 0.000
Sc 0.000 0.000 0.500
Cd 0.500 0.500 0.288

Results
formation energy from the elements: -0.29 eV/atom
relative energy among the computed polymorphs: 0 kJ/mol of formula units

Crystalline Ta6Os3N at its relaxed geometry, computed with PBE.

Unit cell a=5.468 b=7.674 c=9.180 alpha=90.00 beta=122.63 gamma=90.00
Space group P2_1/c (No. 14)
Symmetry-distinct sites (fractional):
Ta 0.043 0.118 0.231
Ta 0.284 0.727 0.621
Ta 0.368 0.141 0.031
Os 0.201 0.085 0.652
Os 0.500 0.000 0.500
N 0.000 0.000 0.000

Results
E_form (uncorrected): -1.9 eV per formula unit

Magnetization, respectively: 0.428, 0.000, 1.783, 0.000 μB per atom.